No. 1
This record from Alexandria via LeMat-Bulk describes crystalline Li2IrCl at its relaxed geometry. The functional is GGA-PBE.

## Properties
- E_form (uncorrected): -0.0554 eV/atom
- E above lowest polymorph: 527.9 meV per atom
- N(E_F): 9.658 states/eV per cell

Lattice parameters (Å, degrees): 6.8456 6.8456 5.0586 90.00 90.00 90.00
With the nearest neighbours (Å) after each atom.
Space group I-42d (No. 122)
Asymmetric unit:
Li: 0.2148 0.2500 0.1250 (multiplicity 8)  2 Cl 2.34, 2 Li 2.57
Ir: 0.0000 0.0000 0.5000 (multiplicity 4)  2 Cl 2.53, 4 Li 2.67
Cl: 0.0000 0.0000 0.0000 (multiplicity 4)  4 Li 2.34, 2 Ir 2.53

=====

No. 2
This record from Alexandria via LeMat-Bulk describes crystalline Rb2SbPbF6 at its relaxed geometry. The functional is GGA-PBE.

## Properties
- E_form (uncorrected): -2.2772 eV/atom
- N(E_F): 0.000 states/eV per cell

Lattice parameters (Å, degrees): 6.5616 6.5616 11.0232 90.00 90.00 90.00
With the nearest neighbours (Å) after each atom.
Space group I4/mmm (No. 139)
Asymmetric unit:
Rb: 0.0000 0.5000 0.2500 (multiplicity 4)  12 F 3.30-3.60
Sb: 0.0000 0.0000 0.0000 (multiplicity 2)  4 F 2.20
Pb: 0.0000 0.0000 0.5000 (multiplicity 2)  6 F 2.39-2.44
F: 0.0000 0.0000 0.2829 (multiplicity 4)  1 Pb 2.39
F: 0.2367 0.2367 0.0000 (multiplicity 8)  1 Sb 2.20, 1 Pb 2.44

=====

No. 3
This record from Alexandria via LeMat-Bulk describes crystalline ZnCrOs2 at its relaxed geometry. The functional is GGA-PBE.

## Properties
- Formation energy: 0.188 eV/atom
- N(E_F): 7.791 states/eV per cell

Lattice parameters (Å, degrees): 8.8665 2.7511 4.6707 90.00 102.68 90.00
With the nearest neighbours (Å) after each atom.
Space group C2/m (No. 12)
Asymmetric unit:
Zn: 0.0000 0.0000 0.0000 (multiplicity 2)  6 Os 2.63-2.77, 4 Cr 2.71, 2 Zn 2.75
Cr: 0.0000 0.5000 0.5000 (multiplicity 2)  6 Os 2.54-2.81, 4 Zn 2.71, 2 Cr 2.75
Os: 0.2345 0.0000 0.7376 (multiplicity 4)  3 Cr 2.54-2.81, 3 Zn 2.63-2.77, 6 Os 2.68-2.77

=====

No. 4
This record from Alexandria via LeMat-Bulk describes crystalline SrTaO3 at its relaxed geometry. The functional is GGA-PBE.

## Properties
- E_form (uncorrected): -2.7509 eV/atom
- N(E_F): 4.290 states/eV per cell

Lattice parameters (Å, degrees): 3.9865 5.8102 6.4341 114.58 90.51 94.42
With the nearest neighbours (Å) after each atom.
Space group P-1 (No. 2)
Asymmetric unit:
Sr: 0.0660 0.3354 0.2169 (multiplicity 2)  8 O 2.60-2.80
Ta: 0.4910 0.1271 0.7385 (multiplicity 2)  6 O 1.99-2.12
O: 0.0066 0.8650 0.2378 (multiplicity 2)  2 Ta 1.99-2.00
O: 0.4302 0.7410 0.5187 (multiplicity 2)  2 Ta 2.09-2.11
O: 0.5000 0.0000 0.0000 (multiplicity 1)  2 Ta 2.10
O: 0.5000 0.5000 0.0000 (multiplicity 1)  2 Ta 2.12

=====

No. 5
This record from Alexandria via LeMat-Bulk describes crystalline TiFeC2 at its relaxed geometry. The functional is GGA-PBE.

## Properties
- Formation energy: 0.562 eV/atom
- N(E_F): 19.133 states/eV per cell

Lattice parameters (Å, degrees): 5.1770 5.1770 5.1770 90.00 90.00 90.00
With the nearest neighbours (Å) after each atom.
Space group Fm-3m (No. 225)
Asymmetric unit:
Ti: 0.0000 0.0000 0.0000 (multiplicity 4)  8 C 2.24
Fe: 0.0000 0.0000 0.5000 (multiplicity 4)  8 C 2.24
C: 0.2500 0.2500 0.2500 (multiplicity 8)  4 Fe 2.24, 4 Ti 2.24

=====

No. 6
This record from Alexandria via LeMat-Bulk describes crystalline Bi14Pb4Cl8O21 at its relaxed geometry. The functional is GGA-PBE.

## Properties
- E_form (uncorrected): -1.1871 eV/atom

Lattice parameters (Å, degrees): 28.9235 3.9295 20.6431 90.00 124.11 90.00
With the nearest neighbours (Å) after each atom.
Space group Cm (No. 8)
Asymmetric unit:
Bi: 0.0000 0.0000 0.0000 (multiplicity 2)  4 O 2.21-2.28
Bi: 0.0151 0.5000 0.6838 (multiplicity 2)  3 O 2.18-2.43
Bi: 0.0442 0.0000 0.3819 (multiplicity 2)  4 O 2.27-2.35
Bi: 0.0922 0.5000 0.5650 (multiplicity 2)  4 O 2.23-2.44
Bi: 0.1267 0.0000 0.2801 (multiplicity 2)  4 O 2.29-2.36
Bi: 0.1752 0.5000 0.4631 (multiplicity 2)  4 O 2.30-2.33
Bi: 0.2127 0.0000 0.1774 (multiplicity 2)  3 O 2.17-2.32
Bi: 0.2573 0.5000 0.3580 (multiplicity 2)  4 O 2.20-2.36
Bi: 0.2833 0.0000 0.0238 (multiplicity 2)  4 O 2.19-2.29
Bi: 0.3083 0.5000 0.7283 (multiplicity 2)  3 O 2.12-2.25
Bi: 0.3428 0.5000 0.2389 (multiplicity 2)  3 O 2.04-2.28
Bi: 0.3861 0.5000 0.6106 (multiplicity 2)  3 O 2.12-2.25
Bi: 0.4107 0.5000 0.1044 (multiplicity 2)  4 O 2.19-2.36
Bi: 0.4629 0.5000 0.4921 (multiplicity 2)  3 O 2.16-2.28
Pb: 0.0851 0.0000 0.8928 (multiplicity 2)  2 O 2.17-2.22
Pb: 0.2254 0.5000 0.8456 (multiplicity 2)  4 O 2.34-2.52
Pb: 0.3645 0.0000 0.9183 (multiplicity 2)  7 O 2.53-2.76
Pb: 0.4432 0.0000 0.8047 (multiplicity 2)  4 O 2.38-2.60
Cl: 0.0307 0.5000 0.2501 (multiplicity 2)  4 Bi 3.17-3.20, 4 O 3.37-3.41
Cl: 0.1074 0.5000 0.1548 (multiplicity 2)  2 Bi 3.04, 1 O 3.32
Cl: 0.1113 0.0000 0.6832 (multiplicity 2)  2 Bi 2.93, 1 O 3.24
Cl: 0.1835 0.5000 0.0513 (multiplicity 2)  2 Bi 2.98
Cl: 0.1907 0.0000 0.5905 (multiplicity 2)  4 Bi 3.11-3.25, 4 O 3.34-3.43
Cl: 0.2729 0.0000 0.5032 (multiplicity 2)  6 Bi 3.15-3.39, 3 O 3.40-3.49
Cl: 0.3593 0.0000 0.4226 (multiplicity 2)  4 Bi 3.15-3.17, 1 O 3.51
Cl: 0.4485 0.0000 0.3408 (multiplicity 2)  4 Bi 3.10-3.23, 3 O 3.37-3.46
O: 0.0083 0.5000 0.5463 (multiplicity 2)  3 Bi 2.23-2.28
O: 0.0136 0.0000 0.9013 (multiplicity 2)  1 Pb 2.17, 1 Bi 2.28
O: 0.0308 0.0000 0.7629 (multiplicity 2)  1 Pb 2.22, 2 Bi 2.43
O: 0.0481 0.0000 0.4949 (multiplicity 2)  4 Bi 2.27-2.43
O: 0.0892 0.5000 0.4447 (multiplicity 2)  4 Bi 2.30-2.44
O: 0.1311 0.0000 0.3976 (multiplicity 2)  4 Bi 2.32-2.36
O: 0.1717 0.5000 0.3477 (multiplicity 2)  4 Bi 2.33-2.36
O: 0.2128 0.0000 0.2995 (multiplicity 2)  4 Bi 2.29-2.52
O: 0.2164 0.0000 0.8991 (multiplicity 2)  1 Bi 2.19, 2 Pb 2.34
O: 0.2520 0.5000 0.2473 (multiplicity 2)  3 Bi 2.20-2.32
O: 0.2943 0.0000 0.1962 (multiplicity 2)  3 Bi 2.17-2.28
O: 0.2996 0.5000 0.9826 (multiplicity 2)  2 Bi 2.29, 1 Pb 2.41
O: 0.3052 0.5000 0.8284 (multiplicity 2)  1 Bi 2.12
O: 0.3494 0.5000 0.1456 (multiplicity 2)  1 Bi 2.04
O: 0.3519 0.0000 0.7789 (multiplicity 2)  2 Bi 2.25, 1 Pb 2.38
O: 0.3728 0.0000 0.0582 (multiplicity 2)  3 Bi 2.19-2.27
O: 0.3845 0.5000 0.7119 (multiplicity 2)  1 Bi 2.12
O: 0.4286 0.5000 0.0120 (multiplicity 2)  2 Bi 2.21-2.24
O: 0.4307 0.0000 0.6572 (multiplicity 2)  3 Bi 2.18-2.25
O: 0.4601 0.0000 0.9412 (multiplicity 2)  2 Bi 2.26
O: 0.4656 0.5000 0.5989 (multiplicity 2)  1 Bi 2.16

=====

No. 7
This record from Alexandria via LeMat-Bulk describes crystalline Tb6Nd3Tm2Zr at its relaxed geometry. The functional is GGA-PBE.

## Properties
- Formation energy: 0.045 eV/atom
- N(E_F): 30.265 states/eV per cell

Lattice parameters (Å, degrees): 6.1423 10.6210 11.7320 90.00 99.97 90.00
With the nearest neighbours (Å) after each atom.
Space group C2/m (No. 12)
Asymmetric unit:
Tb: 0.2436 0.1636 0.2403 (multiplicity 8)  1 Zr 3.43, 2 Tm 3.46, 6 Tb 3.47-3.58, 3 Nd 3.62-3.66
Tb: 0.2469 0.0000 0.7602 (multiplicity 4)  1 Zr 3.42, 2 Tm 3.46, 6 Tb 3.48-3.58, 3 Nd 3.62-3.66
Nd: 0.0000 0.1661 0.5000 (multiplicity 4)  6 Nd 3.53-3.55, 6 Tb 3.62-3.66
Nd: 0.0000 0.5000 0.5000 (multiplicity 2)  6 Nd 3.54-3.55, 6 Tb 3.62-3.66
Tm: 0.0000 0.3331 0.0000 (multiplicity 4)  6 Tb 3.46, 3 Zr 3.54-3.55, 3 Tm 3.54
Zr: 0.0000 0.0000 0.0000 (multiplicity 2)  6 Tb 3.42-3.43, 6 Tm 3.54-3.55

=====

No. 8
This record from Alexandria via LeMat-Bulk describes crystalline AlP2N4 at its relaxed geometry. The functional is GGA-PBE.

## Properties
- E_form (uncorrected): -0.2309 eV/atom
- E above lowest polymorph: 0.0 meV per atom
- N(E_F): 3.100 states/eV per cell

Lattice parameters (Å, degrees): 4.0035 4.0035 8.9535 90.00 90.00 90.00
With the nearest neighbours (Å) after each atom.
Space group I-42m (No. 121)
Asymmetric unit:
Al: 0.0000 0.0000 0.0000 (multiplicity 2)  4 N 1.88
P: 0.0000 0.5000 0.2500 (multiplicity 4)  4 N 1.71
N: 0.2432 0.2432 0.1436 (multiplicity 8)  2 P 1.71, 1 Al 1.88

=====

Number 1: V 14.816 Å³ per atom. Number 2: V 23.730 Å³ per atom. Number 3: V 13.894 Å³ per atom. Number 4: V 13.498 Å³ per atom. Number 5: V 8.672 Å³ per atom. Number 6: V 20.665 Å³ per atom. Number 7: V 31.409 Å³ per atom. Number 8: V 10.251 Å³ per atom.